Arrangement A

Here is an optimized crystal structure of GdSnSO from OQMD. Energies are from PBE.

## Properties
Magnetization = 0.000 μB per atom
Crystal system = monoclinic

Unit cell a=6.0348 b=18.0158 c=5.9653 alpha=90.00 beta=90.11 gamma=90.00
Space group P2_1/c (No. 14)
Symmetry-distinct sites (fractional):
Gd (0.1321, 0.1956, 0.0389) x4
Gd (0.3679, 0.6955, 0.0389) x4
Sn (0.1867, 0.5214, 0.6635) x4
Sn (0.3132, 0.0214, 0.6631) x4
S (0.0027, 0.0978, 0.3882) x4
S (0.4974, 0.5978, 0.3881) x4
O (0.1386, 0.7408, 0.7647) x4
O (0.3614, 0.2408, 0.7647) x4

=====

Arrangement B

Here is an optimized crystal structure of GdSnSO from OQMD. Energies are from PBE.

## Properties
Magnetization = 0.000 μB per atom
Crystal system = orthorhombic

Unit cell a=6.0750 b=6.1380 c=17.0145 alpha=90.00 beta=90.00 gamma=90.00
Space group Pbca (No. 61)
Symmetry-distinct sites (fractional):
Gd (0.0321, 0.1185, 0.1993) x8
Sn (0.2175, 0.1096, 0.9721) x8
S (0.1033, 0.5119, 0.1043) x8
O (0.2484, 0.1401, 0.7663) x8

=====

Arrangement C

Here is an optimized crystal structure of GdSnSO from OQMD. Energies are from PBE.

## Properties
Magnetization = 0.000 μB per atom
Crystal system = orthorhombic

Unit cell a=5.9245 b=15.1808 c=8.3127 alpha=90.00 beta=90.00 gamma=90.00
Space group Pbca (No. 61)
Symmetry-distinct sites (fractional):
Gd (0.1034, 0.2334, 0.1282) x8
Sn (0.1825, 0.0463, 0.5896) x8
S (0.0070, 0.5617, 0.3406) x8
O (0.2422, 0.2455, 0.8799) x8

=====

Arrangement D

Here is an optimized crystal structure of GdSnSO from OQMD. Energies are from PBE.

## Properties
Magnetization = 0.000 μB per atom
Crystal system = orthorhombic

Unit cell a=6.2373 b=17.0624 c=6.6039 alpha=90.00 beta=90.00 gamma=90.00
Space group Pbca (No. 61)
Symmetry-distinct sites (fractional):
Gd (0.1533, 0.1978, 0.0890) x8
Sn (0.1796, 0.5243, 0.6632) x8
S (0.0016, 0.0915, 0.3814) x8
O (0.1610, 0.7458, 0.8241) x8

=====

Verdict on stability: arrangement C comes out at the bottom.